A plane-wave DFT calculation with GGA+U was carried out for crystalline TcNiN2F at its relaxed geometry.

Lattice parameters (Å, degrees): 3.8236 3.8236 3.6767 90.00 90.00 90.00
Fractional coordinates of all 5 atoms:
Tc  0.0000  0.0000  0.0000
Ni  0.5000  0.5000  0.5000
N  0.0000  0.5000  0.5000
N  0.5000  0.0000  0.5000
F  0.5000  0.5000  0.0000

Summary:
total magnetization: 4.0 μB/cell
SG: P4/mmm (123)
V: 10.8 A^3/atom
final energy: -5.35 eV per atom
D(E_F): 1.26 states/eV per cell